# 1
## BaLiRe (SCAN)

Data for BaLiRe at its PBEsol-relaxed geometry.

```
BaLiRe
1.0
-0.080 -1.946 -2.065
5.072 0.419 -0.591
-1.921 -3.419 3.297
Ba Li Re
1 1 1
Cartesian
-0.075 -1.830 -1.941
0.358 -3.418 0.644
2.709 -1.645 -0.127
```

Energy of formation from the pure elements   1.15 eV per atom
Size of the total moment   0.00 Bohr magnetons per cell
DFT total energy   -36.53 eV/atom
Space-group type   P3m1
DOS at the Fermi energy   2.75 states/eV/f.u.

***

# 2
## BaZnSe2O6 (SCAN)

Data for BaZnSe2O6 at its PBEsol-relaxed geometry.

```
BaZnSe2O6
1.0
-0.781 -5.380 2.069
3.202 2.902 7.314
-12.034 3.274 3.969
Ba Zn Se O
4 4 8 24
Cartesian
-6.717 0.489 9.410
-9.539 -0.630 6.156
-2.897 0.307 3.942
-0.075 1.425 7.197
-3.144 -1.709 7.401
-6.470 2.505 5.951
-7.509 4.674 10.479
-2.104 -3.878 2.873
-5.823 -1.585 5.623
0.407 -0.647 2.160
-7.603 0.832 3.415
-10.021 1.443 11.193
-2.011 -0.036 9.937
-0.704 -2.278 5.321
-3.791 2.381 7.729
-8.910 3.074 8.032
-2.100 -0.312 8.228
-0.772 -0.605 5.595
-8.842 1.401 7.758
-4.266 -0.936 6.023
-5.348 1.732 7.330
-11.073 1.403 5.033
-7.514 1.108 5.124
-6.848 -1.227 6.990
1.459 -0.607 8.320
2.063 2.138 5.729
-2.766 2.023 6.363
-4.243 -1.547 2.554
-4.865 2.137 3.829
-1.784 -2.943 6.514
-1.722 -2.301 3.919
-11.677 -1.343 7.623
-5.371 2.343 10.798
-1.228 -0.282 1.670
-4.106 -4.197 3.095
-7.830 3.738 6.838
-5.508 4.993 10.257
-4.749 -1.341 9.523
-8.386 1.078 11.682
-7.892 3.097 9.434
```

Size of the total moment   0.00 Bohr magnetons per cell
DFT total energy   -14.71 eV/atom
Space-group type   P2_1/c
DOS at the Fermi energy   0.00 states/eV/f.u.